Entry 1:
First-principles (PBE-GGA) data for a relaxed ScSi2Sb crystal, as listed in Alexandria.

abc: 9.631 3.564 5.593
angles: 90.00 118.01 90.00
Space group C2/m (No. 12)
Inequivalent atoms, fractional coordinates:
Sc1 0.000 0.000 0.000 x2
Si1 0.245 0.000 0.849 x4
Sb1 0.000 0.500 0.500 x2

ΔE_f (raw) = -0.125 eV per atom
Calculated volume = 21.187 Å³ per atom
DOS at the Fermi energy = 2.5 states/eV/f.u.


Entry 2:
First-principles (PBE-GGA) data for a relaxed Sc2SiSb crystal, as listed in Alexandria.

abc: 3.8492 3.8492 25.7826
angles: 90.00 90.00 120.00
Space group R-3m (No. 166, hexagonal axes)
Inequivalent atoms, fractional coordinates:
Sc1 0.0000 0.0000 0.1119 x6
Si1 0.0000 0.0000 0.5000 x3
Sb1 0.0000 0.0000 0.0000 x3

ΔE_f (raw) = -0.260 eV per atom
Offset from the most stable computed form = 434.4 meV/atom
Calculated volume = 27.568 Å³ per atom
DOS at the Fermi energy = 1.5 states/eV/f.u.